Record 1
VASP calculation (PBE-GGA) on a relaxed TiMn2HW crystal.

Lattice parameters (Å, degrees): 4.056 4.056 3.409 90.00 90.00 90.00
Atoms (fractional coordinates):
1 Mn 0.000 0.500 0.000
2 Ti 0.000 0.000 0.500
3 Mn 0.500 0.000 0.000
4 H 0.000 0.000 0.000
5 W 0.500 0.500 0.500

## Properties
- Raw total energy: -42.24 eV per cell

***

Record 2
VASP calculation (PBE-GGA) on a relaxed Ti2MnZnH crystal.

Lattice parameters (Å, degrees): 4.175 4.175 3.443 90.00 90.00 90.00
Atoms (fractional coordinates):
1 H 0.000 0.000 0.000
2 Zn 0.500 0.500 0.500
3 Ti 0.000 0.500 0.000
4 Ti 0.500 0.000 0.000
5 Mn 0.000 0.000 0.500

## Properties
- Raw total energy: -30.69 eV per cell

***

Record 3
VASP calculation (PBE-GGA) on a relaxed TiMn2ZnH crystal.

Lattice parameters (Å, degrees): 3.845 3.845 3.754 90.00 90.00 90.00
Atoms (fractional coordinates):
1 Mn 0.000 0.500 0.000
2 Ti 0.000 0.000 0.500
3 Mn 0.500 0.000 0.000
4 Zn 0.500 0.500 0.500
5 H 0.000 0.000 0.000

## Properties
- Raw total energy: -31.40 eV per cell

***

Record 4
VASP calculation (PBE-GGA) on a relaxed MnTl3H crystal.

Lattice parameters (Å, degrees): 4.808 4.808 4.808 90.00 90.00 90.00
Atoms (fractional coordinates):
1 Tl 0.500 0.000 0.000
2 Tl 0.000 0.000 0.500
3 Tl 0.000 0.500 0.000
4 Mn 0.500 0.500 0.500
5 H 0.000 0.000 0.000

## Properties
- Distance to the lowest polymorph of the same formula: 0.0 meV/atom

***

Record 5
VASP calculation (PBE-GGA) on a relaxed Mn2TlH2 crystal.

Lattice parameters (Å, degrees): 6.702 6.702 2.757 90.00 90.00 90.00
Atoms (fractional coordinates):
1 Mn 0.396 0.896 0.000
2 Mn 0.604 0.104 0.000
3 Mn 0.104 0.396 0.000
4 H 0.904 0.404 0.500
5 H 0.404 0.096 0.500
6 H 0.596 0.904 0.500
7 Tl 0.500 0.500 0.000
8 H 0.096 0.596 0.500
9 Mn 0.896 0.604 0.000
10 Tl 0.000 0.000 0.000

## Properties
- Distance to the lowest polymorph of the same formula: 377.3 meV/atom

***

Record 6
VASP calculation (PBE-GGA) on a relaxed MnTl2H crystal.

Lattice parameters (Å, degrees): 6.946 6.946 5.893 53.89 53.89 90.00
Atoms (fractional coordinates):
1 H 0.250 0.750 0.500
2 Mn 0.750 0.250 0.500
3 Mn 0.000 0.000 0.000
4 Tl 0.875 0.808 0.750
5 Tl 0.375 0.442 0.750
6 Tl 0.192 0.625 0.250
7 H 0.500 0.500 0.000
8 Tl 0.558 0.125 0.250

## Properties
- Distance to the lowest polymorph of the same formula: 0.0 meV/atom

***

Record 7
VASP calculation (PBE-GGA) on a relaxed MnTl3H crystal.

Lattice parameters (Å, degrees): 5.221 5.221 5.221 90.00 90.00 90.00
Atoms (fractional coordinates):
1 H 0.500 0.500 0.500
2 Tl 0.500 0.000 0.000
3 Tl 0.000 0.500 0.000
4 Tl 0.000 0.000 0.500
5 Mn 0.000 0.000 0.000

## Properties
- Distance to the lowest polymorph of the same formula: 149.3 meV/atom

***

Record 8
VASP calculation (PBE-GGA) on a relaxed MnTl2H crystal.

Lattice parameters (Å, degrees): 4.818 4.818 4.818 60.00 60.00 60.00
Atoms (fractional coordinates):
1 Tl 0.250 0.250 0.250
2 Mn 0.500 0.500 0.500
3 H 0.000 0.000 0.000
4 Tl 0.750 0.750 0.750

## Properties
- Distance to the lowest polymorph of the same formula: 91.0 meV/atom